No. 1
Below is a geometry-optimized Na3TcOs structure, with properties calculated at the PBE level.

The space group is Pm-3m (No. 221) and the conventional cell measures 5.395, 5.395 and 5.395 Å, with angles of 90.00, 90.00 and 90.00 degrees. The distinct sites, in fractional coordinates, are Na at (0.000, 0.000, 0.500), Tc at (0.500, 0.500, 0.500) and Os at (0.000, 0.000, 0.000).

The formation energy is 2110.7 meV per atom. Its offset from the most stable computed form is 0.000 eV per atom.


No. 2
Below is a geometry-optimized NaTc3Os structure, with properties calculated at the PBE level.

The space group is Pm-3m (No. 221) and the conventional cell measures 4.337, 4.337 and 4.337 Å, with angles of 90.00, 90.00 and 90.00 degrees. The distinct sites, in fractional coordinates, are Na at (0.000, 0.000, 0.000), Tc at (0.000, 0.000, 0.500) and Os at (0.500, 0.500, 0.500).

The formation energy is 2679.9 meV per atom. Its offset from the most stable computed form is 1.114 eV per atom.


No. 3
Below is a geometry-optimized NaTcOs2 structure, with properties calculated at the PBE level.

The space group is Fm-3m (No. 225) and the conventional cell measures 6.186, 6.186 and 6.186 Å, with angles of 90.00, 90.00 and 90.00 degrees. The distinct sites, in fractional coordinates, are Na at (0.000, 0.000, 0.000), Tc at (0.000, 0.000, 0.500) and Os at (0.250, 0.250, 0.250).

The formation energy is 830.8 meV per atom. Its offset from the most stable computed form is 0.000 eV per atom.


No. 4
Below is a geometry-optimized NaTcOs2 structure, with properties calculated at the PBE level.

The space group is I-42d (No. 122) and the conventional cell measures 7.355, 7.355 and 5.253 Å, with angles of 90.00, 90.00 and 90.00 degrees. The distinct sites, in fractional coordinates, are Na at (0.000, 0.000, 0.000), Tc at (0.000, 0.000, 0.500) and Os at (0.195, 0.250, 0.625).

The formation energy is 1117.8 meV per atom. Its offset from the most stable computed form is 0.287 eV per atom.


No. 5
Below is a geometry-optimized Na2TcOs structure, with properties calculated at the PBE level.

The space group is I-42d (No. 122) and the conventional cell measures 8.252, 8.252 and 4.841 Å, with angles of 90.00, 90.00 and 90.00 degrees. The distinct sites, in fractional coordinates, are Na at (0.239, 0.750, 0.125), Tc at (0.000, 0.000, 0.500) and Os at (0.000, 0.000, 0.000).

The formation energy is 1537.4 meV per atom. Its offset from the most stable computed form is 0.000 eV per atom.


No. 6
Below is a geometry-optimized Na2TcOs structure, with properties calculated at the PBE level.

The space group is Fm-3m (No. 225) and the conventional cell measures 6.611, 6.611 and 6.611 Å, with angles of 90.00, 90.00 and 90.00 degrees. The distinct sites, in fractional coordinates, are Na at (0.250, 0.250, 0.250), Tc at (0.000, 0.000, 0.000) and Os at (0.000, 0.000, 0.500).

The formation energy is 1773.8 meV per atom. Its offset from the most stable computed form is 0.236 eV per atom.


No. 7
Below is a geometry-optimized NaTc3Os structure, with properties calculated at the PBE level.

The space group is Pm-3m (No. 221) and the conventional cell measures 4.772, 4.772 and 4.772 Å, with angles of 90.00, 90.00 and 90.00 degrees. The distinct sites, in fractional coordinates, are Na at (0.000, 0.000, 0.000), Tc at (0.000, 0.500, 0.500) and Os at (0.500, 0.500, 0.500).

The formation energy is 1565.7 meV per atom. Its offset from the most stable computed form is 0.000 eV per atom.


No. 8
Below is a geometry-optimized NaTcOs2W structure, with properties calculated at the PBE level.

The space group is P4/mmm (No. 123) and the conventional cell measures 4.793, 4.793 and 4.775 Å, with angles of 90.00, 90.00 and 90.00 degrees. The distinct sites, in fractional coordinates, are Na at (0.000, 0.000, 0.000), Tc at (0.500, 0.500, 0.000), Os at (0.000, 0.500, 0.500) and W at (0.500, 0.500, 0.500).

The formation energy is 1833.8 meV per atom.


No. 9
Below is a geometry-optimized NaZr2TcOs structure, with properties calculated at the PBE level.

The space group is P4/mmm (No. 123) and the conventional cell measures 4.978, 4.978 and 5.084 Å, with angles of 90.00, 90.00 and 90.00 degrees. The distinct sites, in fractional coordinates, are Na at (0.000, 0.000, 0.000), Zr at (0.000, 0.500, 0.500), Tc at (0.500, 0.500, 0.000) and Os at (0.000, 0.000, 0.500).

The formation energy is 1215.1 meV per atom.


No. 10
Below is a geometry-optimized NaTe2Os structure, with properties calculated at the PBE level.

The space group is Fm-3m (No. 225) and the conventional cell measures 6.915, 6.915 and 6.915 Å, with angles of 90.00, 90.00 and 90.00 degrees. The distinct sites, in fractional coordinates, are Na at (0.000, 0.000, 0.000), Te at (0.250, 0.250, 0.250) and Os at (0.000, 0.000, 0.500).

As for the uncorrected formation energy: 0.301 eV per atom. Its offset from the most stable computed form is 0.278 eV per atom.


No. 11
Below is a geometry-optimized NaTe2Os structure, with properties calculated at the PBE level.

The space group is R-3m (No. 166, hexagonal axes) and the conventional cell measures 3.1888, 3.1888 and 31.4649 Å, with angles of 90.00, 90.00 and 120.00 degrees. The distinct sites, in fractional coordinates, are Na at (0.0000, 0.0000, 0.0000), Te at (0.0000, 0.0000, 0.4189) and Os at (0.0000, 0.0000, 0.5000).

As for the uncorrected formation energy: 0.564 eV per atom. Its offset from the most stable computed form is 0.541 eV per atom.


No. 12
Below is a geometry-optimized NaTeOs2 structure, with properties calculated at the PBE level.

The space group is I-42d (No. 122) and the conventional cell measures 7.863, 7.863 and 5.237 Å, with angles of 90.00, 90.00 and 90.00 degrees. The distinct sites, in fractional coordinates, are Na at (0.000, 0.000, 0.000), Te at (0.000, 0.000, 0.500) and Os at (0.193, 0.250, 0.625).

As for the uncorrected formation energy: 1.227 eV per atom.